Entry 1:
Nb4VTc after structural relaxation. Source: the Alexandria database, functional PBE-GGA.

Lattice parameters (Å, degrees): 3.2132 3.2132 9.7813 90.00 90.00 90.00
Sites, in units of the cell vectors:
Nb (0.0000, 0.0000, 0.3380)
Tc (0.5000, 0.5000, 0.5000)
V (0.0000, 0.0000, 0.0000)
Nb (0.0000, 0.0000, 0.6620)
Nb (0.5000, 0.5000, 0.8410)
Nb (0.5000, 0.5000, 0.1590)

Properties
ΔE_f: -0.126 eV/atom
electronic total energy: -10.0865 eV/atom
energy above the lowest structure with this stoichiometry: 0.0 meV per atom



Entry 2:
Ac2YAs3Pt4 after structural relaxation. Source: the Alexandria database, functional PBE-GGA.

Lattice parameters (Å, degrees): 4.4218 4.4218 11.3863 90.00 90.00 90.00
Sites, in units of the cell vectors:
Pt (0.5000, 0.5000, 0.0000)
Ac (0.0000, 0.5000, 0.7780)
Y (0.5000, 0.5000, 0.5000)
Pt (0.5000, 0.0000, 0.6563)
As (0.0000, 0.0000, 0.5000)
Pt (0.0000, 0.5000, 0.3437)
As (0.0000, 0.5000, 0.1224)
Pt (0.0000, 0.0000, 0.0000)
Ac (0.5000, 0.0000, 0.2220)
As (0.5000, 0.0000, 0.8776)

Properties
ΔE_f: -0.976 eV/atom
electronic total energy: -6.2548 eV/atom



Entry 3:
Sm2CdIr2 after structural relaxation. Source: the Alexandria database, functional PBE-GGA.

Lattice parameters (Å, degrees): 5.5425 5.8350 8.4080 106.08 90.00 118.36
Sites, in units of the cell vectors:
Cd (0.8436, 0.0000, 0.2500)
Sm (0.8050, 0.2896, 0.6471)
Ir (0.3012, 0.2859, 0.5178)
Cd (0.1564, 0.0000, 0.7500)
Sm (0.4846, 0.2896, 0.1471)
Ir (0.6988, 0.7141, 0.4822)
Ir (0.9848, 0.2859, 0.0178)
Ir (0.0152, 0.7141, 0.9822)
Sm (0.1950, 0.7104, 0.3529)
Sm (0.5154, 0.7104, 0.8529)

Properties
ΔE_f: -0.613 eV/atom
electronic total energy: -6.2277 eV/atom



Entry 4:
TbSiC2 after structural relaxation. Source: the Alexandria database, functional PBE-GGA.

Lattice parameters (Å, degrees): 3.7701 3.7701 6.2893 72.56 72.56 60.00
Sites, in units of the cell vectors:
Tb (0.5000, 0.5000, 0.5000)
C (0.9026, 0.9026, 0.2921)
C (0.0974, 0.0974, 0.7079)
Si (0.0000, 0.0000, 0.0000)

Properties
electronic total energy: -6.4732 eV/atom
energy relative to the elements, uncorrected: 0.652 eV per atom



Entry 5:
Zn2TcNiHg after structural relaxation. Source: the Alexandria database, functional PBE-GGA.

Lattice parameters (Å, degrees): 4.4856 4.5381 4.4856 90.00 90.00 90.00
Last column: magnetic moment on the atom in μB.
Sites, in units of the cell vectors:
Hg (0.5000, 0.5000, 0.5000)  -0.01
Zn (0.0000, 0.0000, 0.5000)  -0.01
Tc (0.0000, 0.5000, 0.0000)  0.67
Zn (0.5000, 0.0000, 0.0000)  -0.01
Ni (0.0000, 0.0000, 0.0000)  0.04

Properties
ΔE_f: 0.624 eV/atom
electronic total energy: -3.1754 eV/atom



Entry 6:
Pa3P4Ru2Rh2 after structural relaxation. Source: the Alexandria database, functional PBE-GGA.

Lattice parameters (Å, degrees): 4.0495 4.0495 13.9184 90.00 90.00 120.00
Sites, in units of the cell vectors:
Ru (0.6667, 0.3333, 0.8488)
P (0.6667, 0.3333, 0.6048)
P (0.6667, 0.3333, 0.1256)
Pa (0.0000, 0.0000, 0.0000)
Pa (0.0000, 0.0000, 0.2692)
Pa (0.0000, 0.0000, 0.7308)
Ru (0.3333, 0.6667, 0.1512)
P (0.3333, 0.6667, 0.8744)
Rh (0.3333, 0.6667, 0.5658)
P (0.3333, 0.6667, 0.3952)
Rh (0.6667, 0.3333, 0.4342)

Properties
ΔE_f: -1.005 eV/atom
electronic total energy: -8.5856 eV/atom



Entry 7:
K2AlGa2 after structural relaxation. Source: the Alexandria database, functional PBE-GGA.

Lattice parameters (Å, degrees): 6.9987 6.9987 5.8402 90.00 90.00 90.00
Sites, in units of the cell vectors:
K (0.1835, 0.6835, 0.5000)
Al (0.0000, 0.0000, 0.0000)
K (0.6835, 0.8165, 0.5000)
Al (0.5000, 0.5000, 0.0000)
K (0.3165, 0.1835, 0.5000)
K (0.8165, 0.3165, 0.5000)
Ga (0.3688, 0.8688, 0.0000)
Ga (0.1312, 0.3688, 0.0000)
Ga (0.8688, 0.6312, 0.0000)
Ga (0.6312, 0.1312, 0.0000)

Properties
ΔE_f: 0.076 eV/atom
electronic total energy: -2.3222 eV/atom



Entry 8:
AgRu2Br after structural relaxation. Source: the Alexandria database, functional PBE-GGA.

Lattice parameters (Å, degrees): 4.4104 4.4104 5.4843 80.29 80.29 39.36
Sites, in units of the cell vectors:
Ru (0.5025, 0.5025, 0.4582)
Ru (0.9975, 0.9975, 0.0418)
Br (0.2500, 0.2500, 0.2500)
Ag (0.7500, 0.7500, 0.7500)

Properties
electronic total energy: -4.8914 eV/atom
energy above the lowest structure with this stoichiometry: 463.3 meV per atom
energy relative to the elements, uncorrected: 0.878 eV per atom



Entry 9:
SmTh5S6 after structural relaxation. Source: the Alexandria database, functional PBE-GGA.

Lattice parameters (Å, degrees): 6.9876 7.0051 6.9855 59.91 80.42 70.62
Sites, in units of the cell vectors:
Sm (0.0000, 0.0000, 0.0000)
S (0.2486, 0.2479, 0.0000)
Th (0.5000, 0.5000, 0.0000)
Th (0.5000, 0.8328, 0.3343)
Th (0.0000, 0.3332, 0.3336)
S (0.7526, 0.0826, 0.3305)
S (0.2474, 0.5869, 0.3305)
Th (0.5000, 0.1672, 0.6657)
S (0.7526, 0.4131, 0.6695)
S (0.7514, 0.7521, 0.0000)
Th (0.0000, 0.6668, 0.6664)
S (0.2474, 0.9174, 0.6695)

Properties
electronic total energy: -7.4177 eV/atom
energy relative to the elements, uncorrected: -1.869 eV per atom



Entry 10:
K2ZnGeF after structural relaxation. Source: the Alexandria database, functional PBE-GGA.

Lattice parameters (Å, degrees): 6.5686 4.0955 6.5686 90.00 90.00 90.00
Last column: magnetic moment on the atom in μB.
Sites, in units of the cell vectors:
F (0.0000, 0.5000, 0.0000)  0.00
Zn (0.0000, 0.0000, 0.0000)  0.01
K (0.5000, 0.0000, 0.0000)  0.01
Ge (0.5000, 0.5000, 0.5000)  0.43
K (0.0000, 0.0000, 0.5000)  0.01

Properties
electronic total energy: -2.2625 eV/atom
energy relative to the elements, uncorrected: -0.271 eV per atom



Entry 11:
CaLaTl after structural relaxation. Source: the Alexandria database, functional PBE-GGA.

Lattice parameters (Å, degrees): 4.8091 7.8448 6.1510 100.66 112.99 107.85
Sites, in units of the cell vectors:
Ca (0.9940, 0.4261, 0.2494)
La (0.6595, 0.7865, 0.2201)
Tl (0.3352, 0.1101, 0.2474)
Tl (0.8200, 0.5945, 0.7320)
Ca (0.1613, 0.2785, 0.7302)
La (0.4956, 0.9181, 0.7594)

Properties
ΔE_f: -0.256 eV/atom
electronic total energy: -3.3546 eV/atom
energy above the lowest structure with this stoichiometry: 142.1 meV per atom



Entry 12:
Rb2NaSb2 after structural relaxation. Source: the Alexandria database, functional PBE-GGA.

Lattice parameters (Å, degrees): 10.7018 10.7018 3.6238 90.00 90.00 90.00
Sites, in units of the cell vectors:
Sb (0.9064, 0.4064, 0.5000)
Sb (0.4064, 0.0936, 0.5000)
Rb (0.3038, 0.8038, 0.0000)
Rb (0.1962, 0.3038, 0.0000)
Sb (0.5936, 0.9064, 0.5000)
Na (0.0000, 0.0000, 0.0000)
Rb (0.6962, 0.1962, 0.0000)
Rb (0.8038, 0.6962, 0.0000)
Na (0.5000, 0.5000, 0.0000)
Sb (0.0936, 0.5936, 0.5000)

Properties
electronic total energy: -2.4296 eV/atom
energy above the lowest structure with this stoichiometry: 222.1 meV per atom
energy relative to the elements, uncorrected: -0.130 eV per atom